Density functional theory data (GGA-PBEsol) for a relaxed TiIrSe2 crystal.

The space group is I-42d (No. 122) and the conventional cell measures 4.3942, 4.3942 and 15.2028 Å, with angles of 90.00, 90.00 and 90.00 degrees. The distinct sites, in fractional coordinates, are Ti at (0.0000, 0.0000, 0.0000), Ir at (0.0000, 0.0000, 0.5000) and Se at (0.2460, 0.2500, 0.6250).

As for the density of states at the Fermi level: 0.74 states/eV/atom. The calculation puts the formation energy (no corrections) at -0.3186 eV/atom. As for the total energy: -6.780 eV per atom.